Entry 1:
The following is a DFT calculation (PBE-GGA) of Li8Hg2Ge after structural relaxation.

abc: 7.3503 7.3503 4.5586
angles: 99.92 99.92 118.36
Last column: nearest neighbours and their distance in Å.
Fractional coordinates of all 11 atoms:
Li  0.0797  0.2911  0.6027  5 Li 2.63-2.92, 1 Hg 2.75
Li  0.2060  0.7940  0.0000  1 Ge 2.60, 2 Hg 2.67
Li  0.2911  0.0797  0.6027  5 Li 2.63-2.92, 1 Hg 2.75
Li  0.3663  0.3663  0.1758  1 Ge 2.60, 2 Hg 2.75, 2 Li 2.84
Li  0.6337  0.6337  0.8242  1 Ge 2.60, 2 Hg 2.75, 2 Li 2.84
Li  0.7089  0.9203  0.3973  5 Li 2.63-2.92, 1 Hg 2.75
Li  0.7940  0.2060  0.0000  1 Ge 2.60, 2 Hg 2.67
Li  0.9203  0.7089  0.3973  5 Li 2.63-2.92, 1 Hg 2.75
Hg  0.3167  0.6833  0.5000  8 Li 2.67-2.97
Hg  0.6833  0.3167  0.5000  8 Li 2.67-2.97
Ge  0.0000  0.0000  0.0000  4 Li 2.60

Properties
Symmetry: C2/m, No. 12
Energy in eV per cell: -23.2
E above lowest polymorph in eV per atom: 0.054

Entry 2:
The following is a DFT calculation (PBE-GGA) of Li8Hg2Ge after structural relaxation.

abc: 7.3810 7.3810 4.4549
angles: 107.36 107.36 57.07
Last column: nearest neighbours and their distance in Å.
Fractional coordinates of all 11 atoms:
Li  0.0765  0.6414  0.3596  1 Ge 2.63, 3 Hg 2.79-2.80, 2 Li 2.81-2.82
Li  0.2176  0.7824  0.0000  6 Li 2.65-2.82, 2 Hg 2.86
Li  0.3564  0.3564  0.8560  2 Li 2.65, 2 Ge 2.83-2.84, 2 Hg 2.94-2.96
Li  0.3586  0.9235  0.6404  1 Ge 2.63, 3 Hg 2.79-2.80, 2 Li 2.81-2.82
Li  0.6414  0.0765  0.3596  1 Ge 2.63, 3 Hg 2.79-2.80, 2 Li 2.81-2.82
Li  0.6436  0.6436  0.1440  2 Li 2.65, 2 Ge 2.83-2.84, 2 Hg 2.94-2.96
Li  0.7824  0.2176  0.0000  6 Li 2.65-2.82, 2 Hg 2.86
Li  0.9235  0.3586  0.6404  1 Ge 2.63, 3 Hg 2.79-2.80, 2 Li 2.81-2.82
Hg  0.1980  0.1980  0.1970  10 Li 2.79-2.96
Hg  0.8020  0.8020  0.8030  10 Li 2.79-2.96
Ge  0.5000  0.5000  0.5000  8 Li 2.63-2.84

Properties
Symmetry: C2/m, No. 12
Energy in eV per cell: -23.8
E above lowest polymorph in eV per atom: 0.000

Entry 3:
The following is a DFT calculation (PBE-GGA) of Li2HgGe2 after structural relaxation.

abc: 7.7407 7.7407 3.1663
angles: 90.00 90.00 90.00
Last column: nearest neighbours and their distance in Å.
Fractional coordinates of all 10 atoms:
Li  0.1865  0.3135  0.0000  6 Ge 2.71-2.86, 2 Hg 2.82
Li  0.3135  0.8135  0.0000  6 Ge 2.71-2.86, 2 Hg 2.82
Li  0.6865  0.1865  0.0000  6 Ge 2.71-2.86, 2 Hg 2.82
Li  0.8135  0.6865  0.0000  6 Ge 2.71-2.86, 2 Hg 2.82
Hg  0.0000  0.0000  0.0000  4 Li 2.82
Hg  0.5000  0.5000  0.0000  4 Li 2.82
Ge  0.1129  0.6129  0.5000  1 Ge 2.47, 2 Li 2.71
Ge  0.3871  0.1129  0.5000  1 Ge 2.47, 2 Li 2.71
Ge  0.6129  0.8871  0.5000  1 Ge 2.47, 2 Li 2.71
Ge  0.8871  0.3871  0.5000  1 Ge 2.47, 2 Li 2.71

Properties
Symmetry: P4/mbm, No. 127
Energy in eV per cell: -28.0
E above lowest polymorph in eV per atom: 0.049

Entry 4:
The following is a DFT calculation (PBE-GGA) of Li6Hg6Ge after structural relaxation.

abc: 6.0078 6.0078 9.1372
angles: 90.00 90.00 120.00
Last column: nearest neighbours and their distance in Å.
Fractional coordinates of all 13 atoms:
Li  0.0000  0.0000  0.2020  1 Ge 2.72, 6 Hg 3.03
Li  0.0000  0.0000  0.7980  1 Ge 2.72, 6 Hg 3.03
Li  0.3333  0.6667  0.0000  6 Hg 2.86
Li  0.3333  0.6667  0.5000  6 Hg 2.88
Li  0.6667  0.3333  0.0000  6 Hg 2.86
Li  0.6667  0.3333  0.5000  6 Hg 2.88
Hg  0.0000  0.5000  0.2487  6 Li 2.86-3.03, 4 Hg 3.00
Hg  0.0000  0.5000  0.7513  6 Li 2.86-3.03, 4 Hg 3.00
Hg  0.5000  0.0000  0.2487  6 Li 2.86-3.03, 4 Hg 3.00
Hg  0.5000  0.0000  0.7513  6 Li 2.86-3.03, 4 Hg 3.00
Hg  0.5000  0.5000  0.2487  6 Li 2.86-3.03, 4 Hg 3.00
Hg  0.5000  0.5000  0.7513  6 Li 2.86-3.03, 4 Hg 3.00
Ge  0.0000  0.0000  0.5000  2 Li 2.72

Properties
Symmetry: P6/mmm, No. 191
Energy in eV per cell: -19.7

Number 1: calculated formation energy -0.24 eV/atom. Number 2: calculated formation energy -0.29 eV/atom. Number 3: calculated formation energy -0.13 eV/atom. Number 4: calculated formation energy -0.14 eV/atom.